*A*
Compound: CePuPt
Source: the Alexandria database
Functional: PBE-GGA
Structure: relaxed

Cell lengths 4.0750, 4.4168, 8.1248 Å; angles 90.00, 90.00, 90.00 degrees
Site moments in Bohr magnetons follow the coordinates.
Fractional coordinates of all 6 atoms:
Pu  0.7500  0.7500  0.5154  5.54
Pu  0.2500  0.2500  0.4846  5.54
Ce  0.7500  0.2500  0.8524  0.64
Ce  0.2500  0.7500  0.1476  0.64
Pt  0.7500  0.2500  0.2094  0.01
Pt  0.2500  0.7500  0.7906  0.01

Output
SG = No. 59
N(E_F) = 2.637 states/eV/atom
Magnetization = 2.2027 μB per atom

*B*
Compound: CePuPt
Source: the Alexandria database
Functional: PBE-GGA
Structure: relaxed

Cell lengths 2.9418, 4.9440, 4.9440 Å; angles 120.00, 90.00, 90.00 degrees
Site moments in Bohr magnetons follow the coordinates.
Fractional coordinates of all 3 atoms:
Ce  0.8337  0.0000  0.0000  0.29
Pu  0.8328  0.6667  0.3333  5.18
Pt  0.3335  0.3333  0.6667  0.05

Output
SG = No. 187
N(E_F) = 2.178 states/eV/atom
Magnetization = 1.8528 μB per atom

*C*
Compound: CePuPt
Source: the Alexandria database
Functional: PBE-GGA
Structure: relaxed

Cell lengths 4.9015, 4.9015, 4.9015 Å; angles 60.00, 60.00, 60.00 degrees
Site moments in Bohr magnetons follow the coordinates.
Fractional coordinates of all 3 atoms:
Pt  0.2500  0.2500  0.2500  -0.06
Pu  0.0000  0.0000  0.0000  5.52
Ce  0.5000  0.5000  0.5000  1.06

Output
SG = No. 216
N(E_F) = 3.339 states/eV/atom
Magnetization = 2.4151 μB per atom

*D*
Compound: CePuPt
Source: the Alexandria database
Functional: PBE-GGA
Structure: relaxed

Cell lengths 3.6401, 3.6401, 5.6676 Å; angles 108.73, 108.73, 90.00 degrees
Site moments in Bohr magnetons follow the coordinates.
Fractional coordinates of all 3 atoms:
Pu  0.6223  0.6223  0.2446  5.16
Pt  0.2838  0.2838  0.5676  -0.06
Ce  0.9439  0.9439  0.8878  0.46

Output
SG = No. 107
N(E_F) = 2.541 states/eV/atom
Magnetization = 1.9267 μB per atom

Most stable structure, least stable structure: *A*, *B*.

*A*
Compound: CePuPt
Source: the Alexandria database
Functional: PBE-GGA
Structure: relaxed

Cell lengths 3.2498, 3.2498, 11.9353 Å; angles 97.82, 97.82, 90.00 degrees
Fractional coordinates of all 6 atoms:
Pu  0.2722  0.2722  0.5445
Pt  0.1401  0.1401  0.2802
Ce  0.5582  0.5582  0.1164
Pu  0.7278  0.7278  0.4555
Ce  0.4418  0.4418  0.8836
Pt  0.8599  0.8599  0.7198

Output
SG = No. 139
N(E_F) = 1.711 states/eV/atom
Magnetization = 0.0000 μB per atom

*B*
Compound: CePuPt
Source: the Alexandria database
Functional: PBE-GGA
Structure: relaxed

Cell lengths 5.0416, 5.9968, 5.9970 Å; angles 45.97, 90.00, 90.00 degrees
Site moments in Bohr magnetons follow the coordinates.
Fractional coordinates of all 6 atoms:
Ce  0.7500  0.4194  0.4197  0.67
Pu  0.7500  0.7702  0.7705  5.24
Pt  0.7500  0.0837  0.0839  -0.01
Pu  0.2500  0.2298  0.2295  5.24
Pt  0.2500  0.9163  0.9161  -0.01
Ce  0.2500  0.5806  0.5803  0.67

Output
SG = No. 63
N(E_F) = 2.270 states/eV/atom
Magnetization = 2.0697 μB per atom

Most stable structure, least stable structure: *B*, *A*.

*A*
Compound: Ce2PuPt2
Source: the Alexandria database
Functional: PBE-GGA
Structure: relaxed

Cell lengths 3.9446, 7.8619, 7.8619 Å; angles 90.00, 90.00, 90.00 degrees
Site moments in Bohr magnetons follow the coordinates.
Fractional coordinates of all 10 atoms:
Pt  0.0000  0.3668  0.8668  -0.01
Pt  0.0000  0.8668  0.6332  -0.01
Ce  0.5000  0.3326  0.1674  0.67
Ce  0.5000  0.6674  0.8326  0.67
Ce  0.5000  0.1674  0.6674  0.67
Pt  0.0000  0.6332  0.1332  -0.01
Pt  0.0000  0.1332  0.3668  -0.01
Ce  0.5000  0.8326  0.3326  0.67
Pu  0.0000  0.0000  0.0000  5.45
Pu  0.0000  0.5000  0.5000  5.45

Output
SG = No. 127
N(E_F) = 2.864 states/eV/atom
Magnetization = 1.5165 μB per atom

*B*
Compound: Ce2PuPt2
Source: the Alexandria database
Functional: PBE-GGA
Structure: relaxed

Cell lengths 4.0316, 4.2803, 14.0018 Å; angles 90.00, 98.28, 90.00 degrees
Site moments in Bohr magnetons follow the coordinates.
Fractional coordinates of all 10 atoms:
Pt  0.1616  0.2500  0.3233  -0.06
Ce  0.9450  0.7500  0.8900  0.59
Pu  0.6419  0.7500  0.2837  5.21
Pt  0.5371  0.7500  0.0741  -0.04
Ce  0.2571  0.7500  0.5142  0.27
Pt  0.8384  0.7500  0.6767  -0.06
Pt  0.4629  0.2500  0.9259  -0.04
Ce  0.0550  0.2500  0.1100  0.59
Pu  0.3581  0.2500  0.7163  5.21
Ce  0.7429  0.2500  0.4858  0.27

Output
SG = No. 63
N(E_F) = 3.506 states/eV/atom
Magnetization = 1.2965 μB per atom

Most stable structure, least stable structure: *A*, *B*.

*A*
Compound: CePuPtRh
Source: the Alexandria database
Functional: PBE-GGA
Structure: relaxed

Cell lengths 3.9386, 4.2256, 5.7110 Å; angles 90.00, 110.17, 90.00 degrees
Site moments in Bohr magnetons follow the coordinates.
Fractional coordinates of all 4 atoms:
Rh  0.3984  0.0000  0.7969  -0.23
Pt  0.5885  0.5000  0.1769  -0.03
Pu  0.8671  0.5000  0.7341  5.14
Ce  0.1461  0.0000  0.2921  0.60

Output
SG = No. 38
N(E_F) = 2.880 states/eV/atom
Magnetization = 1.4859 μB per atom

*B*
Compound: CePuPtRh
Source: the Alexandria database
Functional: PBE-GGA
Structure: relaxed

Cell lengths 4.9477, 4.9477, 4.9477 Å; angles 60.00, 60.00, 60.00 degrees
Site moments in Bohr magnetons follow the coordinates.
Fractional coordinates of all 4 atoms:
Pt  0.0000  0.0000  0.0000  -0.05
Ce  0.7500  0.7500  0.7500  0.74
Rh  0.5000  0.5000  0.5000  -0.19
Pu  0.2500  0.2500  0.2500  5.21

Output
SG = No. 216
N(E_F) = 2.921 states/eV/atom
Magnetization = 1.5460 μB per atom

Most stable structure, least stable structure: *A*, *B*.

*A*
Compound: CePuTlPt
Source: the Alexandria database
Functional: PBE-GGA
Structure: relaxed

Cell lengths 3.4591, 3.4591, 8.4769 Å; angles 90.00, 90.00, 90.00 degrees
Site moments in Bohr magnetons follow the coordinates.
Fractional coordinates of all 4 atoms:
Ce  0.5000  0.5000  0.7802  0.85
Tl  0.0000  0.0000  0.0729  0.00
Pu  0.5000  0.5000  0.3584  5.42
Pt  0.0000  0.0000  0.5732  -0.05

Output
SG = No. 99
N(E_F) = 3.031 states/eV/atom
Magnetization = 1.6907 μB per atom

*B*
Compound: CePuTlPt
Source: the Alexandria database
Functional: PBE-GGA
Structure: relaxed

Cell lengths 5.0546, 5.0546, 5.0546 Å; angles 60.00, 60.00, 60.00 degrees
Site moments in Bohr magnetons follow the coordinates.
Fractional coordinates of all 4 atoms:
Tl  0.0000  0.0000  0.0000  0.00
Pt  0.2500  0.2500  0.2500  -0.01
Ce  0.5000  0.5000  0.5000  1.01
Pu  0.7500  0.7500  0.7500  5.63

Output
SG = No. 216
N(E_F) = 1.665 states/eV/atom
Magnetization = 1.7485 μB per atom

Most stable structure, least stable structure: *A*, *B*.

*A*
Compound: Ce2RePt
Source: the Alexandria database
Functional: PBE-GGA
Structure: relaxed

Cell lengths 2.9890, 2.9890, 10.4945 Å; angles 81.81, 81.81, 60.00 degrees
Fractional coordinates of all 4 atoms:
Pt  0.5000  0.5000  0.5000
Re  0.0000  0.0000  0.0000
Ce  0.9160  0.9160  0.2520
Ce  0.0840  0.0840  0.7480

Output
SG = No. 166
N(E_F) = 1.359 states/eV/atom
Magnetization = 0.0000 μB per atom

*B*
Compound: Ce2RePt
Source: the Alexandria database
Functional: PBE-GGA
Structure: relaxed

Cell lengths 3.4503, 3.4503, 7.2816 Å; angles 90.00, 90.00, 90.00 degrees
Site moments in Bohr magnetons follow the coordinates.
Fractional coordinates of all 4 atoms:
Re  0.5000  0.5000  0.0000  -0.04
Pt  0.5000  0.5000  0.5000  -0.01
Ce  0.0000  0.0000  0.2408  0.16
Ce  0.0000  0.0000  0.7592  0.16

Output
SG = No. 123
N(E_F) = 1.566 states/eV/atom
Magnetization = 0.0835 μB per atom

Most stable structure, least stable structure: *B*, *A*.